The following is a DFT calculation (PBE) of crystalline DyY2Th6 at its relaxed geometry.

Summary:
Fermi-level density of states: 11.66 states/eV/f.u.
ΔE_f: 0.281 eV per atom

Cell: 9.244 7.024 8.286 Å, 115.08 45.27 90.00°
Fractional positions:
Y (0.706, 0.706, 0.412)
Th (0.200, 0.839, 0.152)
Dy (0.000, 0.000, 0.000)
Th (0.800, 0.161, 0.848)
Th (0.200, 0.313, 0.152)
Th (0.800, 0.687, 0.848)
Y (0.294, 0.294, 0.588)
Th (0.356, 0.673, 0.346)
Th (0.644, 0.327, 0.654)

=====

The following is a DFT calculation (PBE) of crystalline Dy2Y4Th at its relaxed geometry.

Summary:
Relative energy among the computed polymorphs: 0 meV per atom
Fermi-level density of states: 12.68 states/eV/f.u.
ΔE_f: 0.022 eV per atom

Cell: 3.607 3.606 20.191 Å, 95.13 90.00 120.01°
Fractional positions:
Th (0.809, 0.617, 0.667)
Y (0.524, 0.048, 0.811)
Y (0.907, 0.813, 0.954)
Y (0.001, 0.002, 0.237)
Dy (0.713, 0.427, 0.380)
Y (0.427, 0.854, 0.522)
Dy (0.621, 0.242, 0.096)

=====

The following is a DFT calculation (PBE) of crystalline Dy7Y12Th at its relaxed geometry.

Summary:
Relative energy among the computed polymorphs: 0 meV per atom
Fermi-level density of states: 44.85 states/eV/f.u.
ΔE_f: 0.245 eV per atom

Cell: 8.737 8.737 8.737 Å, 89.21 89.21 89.21°
Fractional positions:
Dy (0.621, 0.951, 0.846)
Y (0.853, 0.497, 0.383)
Y (0.147, 0.503, 0.617)
Y (0.742, 0.867, 0.282)
Y (0.282, 0.742, 0.867)
Dy (0.379, 0.049, 0.154)
Y (0.258, 0.133, 0.718)
Y (0.718, 0.258, 0.133)
Y (0.617, 0.147, 0.503)
Y (0.867, 0.282, 0.742)
Y (0.383, 0.853, 0.497)
Y (0.497, 0.383, 0.853)
Th (0.000, 0.000, 0.000)
Dy (0.049, 0.154, 0.379)
Y (0.133, 0.718, 0.258)
Dy (0.154, 0.379, 0.049)
Dy (0.846, 0.621, 0.951)
Dy (0.500, 0.500, 0.500)
Y (0.503, 0.617, 0.147)
Dy (0.951, 0.846, 0.621)

=====

The following is a DFT calculation (PBE) of crystalline Dy6YTh at its relaxed geometry.

Summary:
Relative energy among the computed polymorphs: 188 meV per atom
Fermi-level density of states: 14.82 states/eV/f.u.
ΔE_f: 0.220 eV per atom

Cell: 6.637 6.588 6.740 Å, 85.37 60.84 88.08°
Fractional positions:
Th (0.000, 0.000, 0.000)
Dy (0.566, 0.743, 0.521)
Dy (0.526, 0.751, 0.022)
Y (0.000, 0.500, 0.000)
Dy (0.434, 0.257, 0.479)
Dy (0.474, 0.249, 0.978)
Dy (0.935, 0.244, 0.490)
Dy (0.065, 0.756, 0.510)

=====

The following is a DFT calculation (PBE) of crystalline DyY6Th at its relaxed geometry.

Summary:
Relative energy among the computed polymorphs: 185 meV per atom
Fermi-level density of states: 16.59 states/eV/f.u.
ΔE_f: 0.222 eV per atom

Cell: 6.749 6.569 6.809 Å, 95.19 60.40 91.51°
Fractional positions:
Y (0.566, 0.758, 0.526)
Y (0.933, 0.256, 0.489)
Y (0.530, 0.752, 0.025)
Th (0.000, 0.500, 0.000)
Y (0.470, 0.248, 0.975)
Y (0.434, 0.242, 0.474)
Y (0.067, 0.744, 0.511)
Dy (0.000, 0.000, 0.000)

=====

The following is a DFT calculation (PBE) of crystalline Dy7Y16Th6 at its relaxed geometry.

Summary:
Fermi-level density of states: 54.77 states/eV/f.u.
ΔE_f: 0.320 eV per atom

Cell: 11.102 11.102 11.102 Å, 60.00 60.00 60.00°
Fractional positions:
Y (0.120, 0.120, 0.641)
Y (0.880, 0.359, 0.880)
Y (0.658, 0.025, 0.658)
Y (0.658, 0.658, 0.658)
Y (0.342, 0.342, 0.342)
Y (0.359, 0.880, 0.880)
Dy (0.000, 0.000, 0.500)
Y (0.880, 0.880, 0.359)
Y (0.880, 0.880, 0.880)
Dy (0.000, 0.000, 0.000)
Y (0.120, 0.120, 0.120)
Y (0.120, 0.641, 0.120)
Y (0.025, 0.658, 0.658)
Dy (0.000, 0.500, 0.000)
Th (0.331, 0.669, 0.669)
Dy (0.500, 0.000, 0.000)
Th (0.669, 0.669, 0.331)
Th (0.331, 0.331, 0.669)
Y (0.658, 0.658, 0.025)
Th (0.669, 0.331, 0.331)
Dy (0.500, 0.500, 0.000)
Y (0.342, 0.975, 0.342)
Dy (0.000, 0.500, 0.500)
Y (0.641, 0.120, 0.120)
Th (0.669, 0.331, 0.669)
Y (0.975, 0.342, 0.342)
Th (0.331, 0.669, 0.331)
Y (0.342, 0.342, 0.975)
Dy (0.500, 0.000, 0.500)

=====

The following is a DFT calculation (PBE) of crystalline DyY5Th4 at its relaxed geometry.

Summary:
Fermi-level density of states: 18.14 states/eV/f.u.
ΔE_f: 0.103 eV per atom

Cell: 3.499 11.645 8.712 Å, 70.40 101.58 90.00°
Fractional positions:
Y (0.210, 0.385, 0.420)
Th (0.403, 0.795, 0.805)
Y (0.807, 0.085, 0.614)
Dy (0.500, 0.000, 0.000)
Y (0.500, 0.500, 0.000)
Th (0.088, 0.707, 0.176)
Y (0.790, 0.615, 0.580)
Th (0.912, 0.293, 0.824)
Th (0.597, 0.205, 0.195)
Y (0.193, 0.915, 0.386)

=====

The following is a DFT calculation (PBE) of crystalline Dy6YTh4 at its relaxed geometry.

Summary:
Relative energy among the computed polymorphs: 331 meV per atom
Fermi-level density of states: 14.77 states/eV/f.u.
ΔE_f: 0.492 eV per atom

Cell: 7.854 7.854 8.518 Å, 117.45 117.45 90.00°
Fractional positions:
Th (0.759, 0.095, 0.853)
Th (0.241, 0.241, 0.147)
Th (0.095, 0.759, 0.853)
Dy (0.500, 0.000, 0.000)
Dy (0.942, 0.427, 0.369)
Th (0.905, 0.905, 0.147)
Dy (0.058, 0.058, 0.631)
Y (0.500, 0.500, 0.000)
Dy (0.000, 0.500, 0.000)
Dy (0.427, 0.942, 0.369)
Dy (0.573, 0.573, 0.631)

=====

The following is a DFT calculation (PBE) of crystalline DyY6Th at its relaxed geometry.

Summary:
Relative energy among the computed polymorphs: 0 meV per atom
Fermi-level density of states: 13.12 states/eV/f.u.
ΔE_f: 0.037 eV per atom

Cell: 5.062 5.062 10.063 Å, 90.00 90.00 90.00°
Fractional positions:
Dy (0.000, 0.000, 0.000)
Y (0.500, 0.000, 0.748)
Y (0.000, 0.500, 0.252)
Th (0.000, 0.000, 0.500)
Y (0.500, 0.500, 0.000)
Y (0.500, 0.500, 0.500)
Y (0.000, 0.500, 0.748)
Y (0.500, 0.000, 0.252)

=====

The following is a DFT calculation (PBE) of crystalline Dy3YTh at its relaxed geometry.

Summary:
Relative energy among the computed polymorphs: 0 meV per atom
Fermi-level density of states: 7.05 states/eV/f.u.
ΔE_f: 0.191 eV per atom

Cell: 5.325 6.222 10.958 Å, 90.00 90.01 64.67°
Fractional positions:
Y (0.654, 0.692, 0.500)
Dy (0.652, 0.696, 0.197)
Y (0.346, 0.308, 0.500)
Dy (0.348, 0.304, 0.197)
Dy (0.000, 0.000, 0.328)
Th (0.136, 0.729, 0.000)
Dy (0.000, 0.000, 0.672)
Dy (0.348, 0.304, 0.803)
Th (0.864, 0.271, 0.000)
Dy (0.652, 0.696, 0.803)

=====

The following is a DFT calculation (PBE) of crystalline DyY4Th at its relaxed geometry.

Summary:
Relative energy among the computed polymorphs: 0 meV per atom
Fermi-level density of states: 9.58 states/eV/f.u.
ΔE_f: 0.038 eV per atom

Cell: 5.068 15.199 6.179 Å, 65.73 114.21 90.00°
Fractional positions:
Y (0.753, 0.082, 0.005)
Dy (0.750, 0.750, 0.000)
Y (0.000, 0.164, 0.499)
Dy (0.250, 0.250, 0.000)
Th (0.000, 0.500, 0.500)
Y (0.247, 0.918, 0.995)
Y (0.000, 0.836, 0.501)
Th (0.500, 0.000, 0.500)
Y (0.499, 0.664, 0.499)
Y (0.747, 0.418, 0.995)
Y (0.253, 0.582, 0.005)
Y (0.501, 0.336, 0.501)

=====

The following is a DFT calculation (PBE) of crystalline Dy8Y3Th2 at its relaxed geometry.

Summary:
Relative energy among the computed polymorphs: 0 meV per atom
Fermi-level density of states: 19.42 states/eV/f.u.
ΔE_f: 0.149 eV per atom

Cell: 14.524 9.574 15.378 Å, 85.37 96.83 155.92°
Fractional positions:
Dy (0.371, 0.504, 0.574)
Th (0.890, 0.704, 0.639)
Dy (0.387, 0.178, 0.637)
Th (0.366, 0.719, 0.929)
Dy (0.847, 0.540, 0.856)
Dy (0.623, 0.195, 0.284)
Y (0.128, 0.687, 0.290)
Dy (0.153, 0.460, 0.144)
Dy (0.377, 0.077, 0.867)
Y (0.356, 0.411, 0.800)
Dy (0.623, 0.923, 0.133)
Dy (0.875, 0.952, 0.776)
Dy (0.629, 0.496, 0.426)
Th (0.634, 0.281, 0.071)
Th (0.110, 0.296, 0.361)
Dy (0.139, 0.816, 0.062)
Y (0.500, 0.000, 0.500)
Dy (0.074, 0.867, 0.443)
Y (0.872, 0.313, 0.710)
Dy (0.613, 0.822, 0.363)
Dy (0.861, 0.184, 0.938)
Y (0.644, 0.589, 0.200)
Y (0.000, 0.000, 0.000)
Dy (0.377, 0.805, 0.716)
Dy (0.926, 0.133, 0.557)
Dy (0.125, 0.048, 0.224)